A geometry-optimized K2CrP2O7 structure. Source: the Alexandria database, functional PBE with a Hubbard U.

final energy: -80.47 eV per formula unit
size of the total moment: 0.33 μB/atom

abc: 5.6511 5.6511 19.6685
angles: 90.00 90.00 120.00
Space group R-3m (No. 166, hexagonal axes)
One atom of each set of equivalent atoms:
K 0.0000 0.0000 0.2427 x6
Cr 0.0000 0.0000 0.0000 x3
P 0.0000 0.0000 0.4178 x6
O 0.0000 0.0000 0.5000 x3
O 0.0308 0.5154 0.2687 x18